# PBE with a Hubbard U HoMn2BiO6, optimized geometry
data_HoMn2BiO6
_cell_length_a 5.5540
_cell_length_b 5.5540
_cell_length_c 13.9751
_cell_angle_alpha 90.00
_cell_angle_beta 90.00
_cell_angle_gamma 120.00
_space_group_name_H-M_alt 'R 3'
_space_group_IT_number 146
_space_group_name_Hall 'R 3'
loop_
_atom_site_label
_atom_site_type_symbol
_atom_site_fract_x
_atom_site_fract_y
_atom_site_fract_z
_atom_site_occupancy
Ho1 Ho 0.0000 0.0000 0.0000 1
Mn1 Mn 0.0000 0.0000 0.2829 1
Mn2 Mn 0.0000 0.0000 0.7792 1
Bi1 Bi 0.0000 0.0000 0.5031 1
O1 O 0.0073 0.4256 0.5440 1
O2 O 0.0286 0.6206 0.0412 1
# Electronic total energy: -218.56 eV/cell